No. 1
4
Lattice="2.023 1.168 8.634 -2.023 1.168 8.634 0.000 -2.336 8.634" Properties=species:S:1:pos:R:3 comment="La2AlBr, relaxed, DFT PBE" space_group="No. 166" e_form_raw_ev_per_atom=-0.76 e_above_lowest_polymorph_mev_per_atom=63.4 pbc="T T T"
La 0.000 0.000 6.368
La 0.000 0.000 19.533
Al 0.000 0.000 12.951
Br 0.000 0.000 0.000

No. 2
12
Lattice="5.010 -4.990 0.000 5.010 4.990 0.000 -2.512 0.000 7.466" Properties=species:S:1:pos:R:3 comment="Y8Er3Sc, relaxed, DFT PBE" e_form_ev_per_atom=0.03 space_group="No. 12" pbc="T T T"
Y 2.500 2.511 5.008
Y -0.019 0.000 5.020
Y 2.489 0.000 2.457
Y 5.007 2.511 2.458
Y 2.500 -2.511 5.008
Y 5.017 0.000 5.009
Y 7.525 0.000 2.446
Y 5.007 -2.511 2.458
Er 2.505 2.495 0.000
Er 2.505 -2.495 0.000
Er 5.010 0.000 0.000
Sc 0.000 0.000 0.000

No. 3
6
Lattice="0.000 4.029 4.029 4.029 0.000 4.029 4.029 4.029 0.000" Properties=species:S:1:pos:R:3 comment="NaHgGe4, relaxed, DFT PBE" e_form_ev_per_atom=0.17 space_group="No. 216" pbc="T T T"
Na 0.000 0.000 0.000
Hg 2.014 2.014 2.014
Ge 5.037 3.020 3.020
Ge 3.020 5.037 3.020
Ge 3.020 3.020 5.037
Ge 5.037 5.037 5.037

No. 4
5
Lattice="4.724 0.000 0.000 0.000 4.724 0.000 0.000 0.000 6.075" Properties=species:S:1:pos:R:3 comment="KAs2RuBr, relaxed, DFT PBE" space_group="No. 123" e_form_raw_ev_per_atom=-0.18 e_above_lowest_polymorph_mev_per_atom=0.0 pbc="T T T"
K 0.000 0.000 0.000
As 0.000 2.362 3.037
As 2.362 0.000 3.037
Ru 2.362 2.362 3.037
Br 2.362 2.362 0.000

No. 5
4
Lattice="1.994 1.151 5.164 -1.994 1.151 5.164 0.000 -2.302 5.164" Properties=species:S:1:pos:R:3 comment="HoBeGa2, relaxed, DFT PBE" e_form_ev_per_atom=-0.36 space_group="No. 166" pbc="T T T"
Ho 0.000 0.000 0.000
Be 0.000 0.000 7.746
Ga 0.000 0.000 3.327
Ga 0.000 0.000 12.165

No. 6
4
Lattice="2.197 -2.494 0.000 2.197 2.494 0.000 0.000 0.000 10.170" Properties=species:S:1:pos:R:3 comment="KZnSb2, relaxed, DFT PBE" space_group="No. 35" e_form_raw_ev_per_atom=0.16 pbc="T T T"
K 0.000 0.000 0.000
Zn 2.197 0.000 2.610
Sb 0.000 0.000 4.603
Sb 2.197 0.000 7.311

No. 7
6
Lattice="-1.560 3.730 4.015 1.560 -3.730 4.015 1.560 3.730 -4.015" Properties=species:S:1:pos:R:3 comment="NbSiOs, relaxed, DFT PBE" space_group="No. 44" e_form_raw_ev_per_atom=-0.32 pbc="T T T"
Nb 0.000 0.000 0.000
Nb 0.000 3.730 1.486
Si 1.560 2.220 -0.249
Si 0.000 1.510 3.765
Os 1.560 -1.383 1.995
Os 1.560 1.383 1.995

No. 8
11
Lattice="-2.157 3.578 7.232 2.157 -3.578 7.232 2.157 3.578 -7.232" Properties=species:S:1:pos:R:3 comment="Ce3Cu4Au4, relaxed, DFT PBE" e_form_ev_per_atom=-0.40 space_group="No. 71" pbc="T T T"
Ce 0.000 0.000 0.000
Ce 2.157 0.000 5.276
Ce 0.000 3.578 1.956
Cu 2.157 1.381 -2.515
Cu 2.157 1.381 2.515
Cu 0.000 2.197 4.717
Cu 0.000 2.197 9.747
Au 0.000 0.000 3.089
Au 2.157 2.167 0.000
Au 0.000 1.411 7.232
Au 0.000 0.000 11.375

Number 1: M_tot 0.00 μB per cell, calculated volume 30.60 A^3/atom. Number 2: M_tot 0.00 μB per cell, calculated volume 31.11 A^3/atom. Number 3: M_tot 0.00 μB per cell, calculated volume 21.80 A^3/atom. Number 4: M_tot 0.11 μB per cell, calculated volume 27.12 A^3/atom. Number 5: M_tot 0.00 μB per cell, calculated volume 17.78 A^3/atom. Number 6: M_tot 0.00 μB per cell, calculated volume 27.87 A^3/atom. Number 7: M_tot 0.00 μB per cell, calculated volume 15.57 A^3/atom. Number 8: M_tot 2.71 μB per cell, calculated volume 20.30 A^3/atom.